The following is a PBE+U calculation of a geometry-optimized Ca6ScCo3O12 structure, from Alexandria via LeMat-Bulk.

Unit cell a=6.3616 b=6.3616 c=6.3616 alpha=92.46 beta=92.46 gamma=92.46
Closest atoms and distances in Å follow each position.
Fractional coordinates of all 22 atoms:
Ca: 0.1335 0.8665 0.5000  8 O 2.35-2.60
Ca: 0.5000 0.1335 0.8665  8 O 2.35-2.60
Ca: 0.8665 0.5000 0.1335  8 O 2.35-2.60
Ca: 0.0000 0.3698 0.6302  8 O 2.37-2.56
Ca: 0.6302 0.0000 0.3698  8 O 2.37-2.56
Ca: 0.3698 0.6302 0.0000  8 O 2.37-2.56
Sc: 0.0000 0.0000 0.0000  6 O 2.12
Co: 0.7490 0.7490 0.7490  6 O 1.93-1.95
Co: 0.2510 0.2510 0.2510  6 O 1.93-1.95
Co: 0.5000 0.5000 0.5000  6 O 2.07
O: 0.4607 0.7870 0.6552  2 Co 1.93-2.07
O: 0.6552 0.4607 0.7870  2 Co 1.93-2.07
O: 0.7870 0.6552 0.4607  2 Co 1.93-2.07
O: 0.1613 0.2935 0.9593  1 Co 1.95, 1 Sc 2.12
O: 0.9593 0.1613 0.2935  1 Co 1.95, 1 Sc 2.12
O: 0.2935 0.9593 0.1613  1 Co 1.95, 1 Sc 2.12
O: 0.0407 0.7065 0.8387  1 Co 1.95, 1 Sc 2.12
O: 0.8387 0.0407 0.7065  1 Co 1.95, 1 Sc 2.12
O: 0.7065 0.8387 0.0407  1 Co 1.95, 1 Sc 2.12
O: 0.3448 0.2130 0.5393  2 Co 1.93-2.07
O: 0.5393 0.3448 0.2130  2 Co 1.93-2.07
O: 0.2130 0.5393 0.3448  2 Co 1.93-2.07

Output
total magnetic moment = 3.89 μB per formula unit
crystal system = trigonal
calculated volume = 257 Å³ per cell
calculated total energy = -145.1 eV/cell